Compound: Tb2YI
Source: Alexandria via LeMat-Bulk
Functional: GGA-PBE
Structure: relaxed

```
Tb2YI
1.0
-0.732 1.943 -3.157
0.597 -1.588 -3.377
-9.828 -3.564 -2.174
Tb Y I
2 1 1
direct
0.079 0.079 0.763
0.254 0.254 0.237
0.500 0.500 0.501
0.667 0.667 0.000
```

Computed properties:
D(E_F)	1.5351	states/eV/atom
crystal system	trigonal
E_form (uncorrected)	-0.36	eV per atom
calculated total energy	-4.676	eV per atom

=====

Compound: Ta2TlCd
Source: Alexandria via LeMat-Bulk
Functional: GGA-PBE
Structure: relaxed

```
Ta2TlCd
1.0
4.764 0.000 0.000
0.000 2.988 0.017
0.000 0.575 5.639
Ta Cd Tl
2 1 1
direct
0.500 0.215 0.251
0.000 0.026 0.993
0.500 0.625 0.774
0.000 0.633 0.482
```

Computed properties:
D(E_F)	0.5948	states/eV/atom
calculated formation energy	0.462	eV/atom
crystal system	monoclinic
calculated total energy	-6.285	eV per atom

=====

Compound: PrDyRh2
Source: Alexandria via LeMat-Bulk
Functional: GGA-PBE
Structure: relaxed

```
PrDyRh2
1.0
5.620 0.000 0.000
0.000 5.718 -0.303
0.000 -1.465 11.461
Rh Dy Pr
8 4 4
direct
0.750 0.937 0.850
0.250 0.056 0.657
0.750 0.944 0.343
0.250 0.063 0.150
0.750 0.563 0.650
0.250 0.437 0.350
0.750 0.556 0.157
0.250 0.444 0.843
0.250 0.956 0.893
0.750 0.456 0.393
0.750 0.044 0.107
0.250 0.544 0.607
0.750 0.453 0.894
0.250 0.547 0.106
0.250 0.953 0.394
0.750 0.047 0.606
```

Computed properties:
D(E_F)	0.3420	states/eV/atom
calculated formation energy	-0.594	eV/atom
crystal system	monoclinic
calculated total energy	-6.615	eV per atom

=====

Compound: InHgTe2
Source: Alexandria via LeMat-Bulk
Functional: GGA-PBE
Structure: relaxed

```
InHgTe2
1.0
-4.009 1.664 -4.289
-0.058 -4.807 -3.758
-1.377 1.702 5.696
Te In Hg
2 1 1
direct
0.753 0.253 0.500
0.991 0.991 0.000
0.256 0.756 0.500
0.500 0.500 0.000
```

Computed properties:
D(E_F)	0.6145	states/eV/atom
crystal system	orthorhombic
E_form (uncorrected)	0.05	eV per atom
calculated total energy	-2.279	eV per atom

=====

Compound: SmDyPd
Source: Alexandria via LeMat-Bulk
Functional: GGA-PBE
Structure: relaxed

```
SmDyPd
1.0
-1.436 0.634 3.495
0.823 -7.976 1.786
13.937 2.615 5.253
Sm Dy Pd
6 6 6
direct
0.000 0.199 0.944
0.000 0.199 0.556
0.000 0.874 0.750
0.000 0.801 0.444
0.000 0.801 0.056
0.000 0.126 0.250
0.500 0.760 0.250
0.500 0.240 0.750
0.500 0.421 0.390
0.500 0.579 0.890
0.500 0.421 0.110
0.500 0.579 0.610
0.500 0.070 0.095
0.500 0.930 0.905
0.000 0.504 0.750
0.500 0.930 0.595
0.500 0.070 0.405
0.000 0.496 0.250
```

Computed properties:
D(E_F)	1.0170	states/eV/atom
calculated formation energy	-0.585	eV/atom
crystal system	orthorhombic
calculated total energy	-5.423	eV per atom

=====

Compound: Tb7SiSe5
Source: Alexandria via LeMat-Bulk
Functional: GGA-PBE
Structure: relaxed

```
Tb7SiSe5
1.0
4.060 0.000 0.000
-2.030 6.664 0.007
0.000 -0.030 24.116
Tb Se Si
14 10 2
direct
0.639 0.279 0.038
0.094 0.188 0.620
0.804 0.609 0.818
0.362 0.724 0.962
0.639 0.277 0.462
0.463 0.927 0.250
0.094 0.189 0.880
0.537 0.074 0.750
0.906 0.812 0.380
0.804 0.608 0.682
0.197 0.393 0.182
0.907 0.814 0.120
0.196 0.392 0.318
0.361 0.723 0.538
0.001 0.001 0.000
0.447 0.894 0.644
0.554 0.107 0.144
0.278 0.555 0.428
0.723 0.445 0.572
0.278 0.556 0.072
0.000 0.000 0.500
0.447 0.895 0.856
0.723 0.446 0.928
0.553 0.106 0.356
0.191 0.382 0.750
0.810 0.620 0.250
```

Computed properties:
D(E_F)	0.5640	states/eV/atom
crystal system	orthorhombic
E_form (uncorrected)	-1.50	eV per atom
calculated total energy	-5.751	eV per atom

=====

no.,M_tot (μB/f.u.)
1,0.00
2,0.00
3,0.00
4,0.00
5,0.00
6,0.00